Here is crystalline LaY2Co2 at its relaxed geometry from Alexandria via LeMat-Bulk. Energies are from PBE.

a b c (Å): 4.8988 4.8988 10.3753
angles (deg): 90.00 90.00 90.00
Closest atoms and distances in Å follow each position.
Space group I4/mmm (No. 139)
Asymmetric unit:
La 0.0000 0.0000 0.0000 x2  10 Y 3.48-3.86, 8 Co 3.57
Y 0.0000 0.0000 0.3356 x4  4 Co 2.61
Co 0.0000 0.5000 0.2500 x4  4 Y 2.61

Results
* energy above the most stable polymorph in this dataset: 0.3404 eV per atom
* energy of formation: 0.211 eV/atom
* raw total energy: -6.20 eV/atom

---

Here is crystalline BaCd3I at its relaxed geometry from Alexandria via LeMat-Bulk. Energies are from PBE.

a b c (Å): 6.8926 6.8926 6.8926
angles (deg): 90.00 90.00 90.00
Closest atoms and distances in Å follow each position.
Space group Pm-3m (No. 221)
Asymmetric unit:
Ba 0.0000 0.0000 0.0000 x1  6 Cd 3.45
Cd 0.0000 0.0000 0.5000 x3  2 Ba 3.45
I 0.5000 0.5000 0.5000 x1  12 Cd 4.87

Results
* energy above the most stable polymorph in this dataset: 0.0081 eV per atom
* raw total energy: -1.01 eV/atom
* formation energy from raw total energies: 0.234 eV/atom

---

Here is crystalline SrTcRu2 at its relaxed geometry from Alexandria via LeMat-Bulk. Energies are from PBE.

a b c (Å): 6.5294 6.5294 6.5294
angles (deg): 90.00 90.00 90.00
Closest atoms and distances in Å follow each position.
Space group Fm-3m (No. 225)
Asymmetric unit:
Sr 0.0000 0.0000 0.0000 x4  8 Ru 2.83
Tc 0.0000 0.0000 0.5000 x4  8 Ru 2.83
Ru 0.2500 0.2500 0.2500 x8  4 Tc 2.83, 4 Sr 2.83

Results
* energy above the most stable polymorph in this dataset: 0.3427 eV per atom
* energy of formation: 0.820 eV/atom
* raw total energy: -6.83 eV/atom

---

Here is crystalline LiEuPuIr at its relaxed geometry from Alexandria via LeMat-Bulk. Energies are from PBE.

a b c (Å): 7.0531 7.0531 7.0531
angles (deg): 90.00 90.00 90.00
Closest atoms and distances in Å follow each position.
Space group F-43m (No. 216)
Asymmetric unit:
Li 0.0000 0.0000 0.0000 x4  4 Pu 3.05, 4 Eu 3.05
Eu 0.2500 0.2500 0.2500 x4  4 Li 3.05, 4 Ir 3.05
Pu 0.2500 0.2500 0.7500 x4  4 Li 3.05, 4 Ir 3.05
Ir 0.0000 0.0000 0.5000 x4  4 Pu 3.05, 4 Eu 3.05

Results
* energy of formation: -0.186 eV/atom
* raw total energy: -9.03 eV/atom

---

Here is crystalline Pr5Ga5Rh2 at its relaxed geometry from Alexandria via LeMat-Bulk. Energies are from PBE.

a b c (Å): 15.3620 4.5286 11.0362
angles (deg): 90.00 130.44 90.00
Closest atoms and distances in Å follow each position.
Space group C2/m (No. 12)
Asymmetric unit:
Pr 0.0000 0.0000 0.0000 x2  6 Ga 3.13-3.31, 4 Rh 3.20
Pr 0.1195 0.0000 0.4275 x4  3 Rh 2.88-3.18, 5 Ga 3.16-3.22
Pr 0.1947 0.0000 0.8322 x4  1 Rh 3.07, 5 Ga 3.07-3.22
Ga 0.0000 0.5000 0.5000 x2  2 Ga 2.84
Ga 0.0486 0.5000 0.8309 x4  1 Rh 2.60
Ga 0.2418 0.5000 0.6933 x4  2 Rh 2.61, 1 Ga 2.84
Rh 0.1565 0.5000 0.2621 x4  3 Ga 2.60-2.61, 1 Pr 2.88

Results
* energy of formation: -0.615 eV/atom
* raw total energy: -5.09 eV/atom

---

Here is crystalline CePaH at its relaxed geometry from Alexandria via LeMat-Bulk. Energies are from PBE.

a b c (Å): 3.7669 3.7669 28.9357
angles (deg): 90.00 90.00 120.00
Closest atoms and distances in Å follow each position.
Space group R-3m (No. 166, hexagonal axes)
Asymmetric unit:
Ce 0.0000 0.0000 0.2166 x6  3 Pa 2.69
Pa 0.0000 0.0000 0.0623 x6  3 H 2.35
H 0.0000 0.0000 0.3645 x6  3 Pa 2.35

Results
* energy above the most stable polymorph in this dataset: 0.2186 eV per atom
* raw total energy: -5.95 eV/atom

---

Here is crystalline NdIn3 at its relaxed geometry from Alexandria via LeMat-Bulk. Energies are from PBE.

a b c (Å): 4.7174 4.7174 4.7174
angles (deg): 90.00 90.00 90.00
Closest atoms and distances in Å follow each position.
Space group Pm-3m (No. 221)
Asymmetric unit:
Nd 0.0000 0.0000 0.0000 x1  12 In 3.34
In 0.0000 0.5000 0.5000 x3  8 In 3.34, 4 Nd 3.34

Results
* energy of formation: -0.472 eV/atom
* raw total energy: -3.72 eV/atom

---

Here is crystalline Ce5AlOs4 at its relaxed geometry from Alexandria via LeMat-Bulk. Energies are from PBE.

a b c (Å): 15.7390 4.3279 6.7501
angles (deg): 90.00 102.43 90.00
Closest atoms and distances in Å follow each position.
Space group C2/m (No. 12)
Asymmetric unit:
Ce 0.0000 0.0000 0.0000 x2  6 Os 2.89-3.18
Ce 0.1580 0.5000 0.5039 x4  4 Os 2.81-2.92, 1 Ce 3.10
Ce 0.1681 0.5000 0.0496 x4  4 Os 2.78-2.86, 1 Ce 3.10
Al 0.0000 0.0000 0.5000 x2  6 Os 2.64-2.72
Os 0.0186 0.5000 0.7284 x4  2 Al 2.64, 5 Ce 2.84-2.92
Os 0.1560 0.0000 0.7686 x4  1 Al 2.72, 5 Ce 2.78-2.86, 2 Os 3.03

Results
* energy of formation: -0.138 eV/atom
* raw total energy: -7.97 eV/atom

---

Here is crystalline LaSm2Tm8 at its relaxed geometry from Alexandria via LeMat-Bulk. Energies are from PBE.

a b c (Å): 5.4522 8.0637 16.0143
angles (deg): 90.00 90.00 90.00
Closest atoms and distances in Å follow each position.
Space group Immm (No. 71)
Asymmetric unit:
La 0.0000 0.0000 0.0000 x2  8 Tm 3.27-3.62
Sm 0.0000 0.0000 0.3005 x4  10 Tm 3.33-3.60
Tm 0.0000 0.2055 0.5000 x4  7 Tm 3.31-3.54, 2 Sm 3.60, 2 La 3.62
Tm 0.0000 0.2931 0.1413 x8  1 La 3.27, 3 Sm 3.33-3.48, 6 Tm 3.34-3.62
Tm 0.0000 0.5000 0.3380 x4  2 Sm 3.51, 8 Tm 3.52-3.62, 2 La 3.76

Results
* energy above the most stable polymorph in this dataset: 0.0883 eV per atom
* energy of formation: 0.121 eV/atom
* raw total energy: -4.44 eV/atom

---

Here is crystalline SrBeRe2Bi at its relaxed geometry from Alexandria via LeMat-Bulk. Energies are from PBE.

a b c (Å): 5.0101 5.0101 4.7588
angles (deg): 90.00 90.00 90.00
Closest atoms and distances in Å follow each position.
Space group P4/mmm (No. 123)
Asymmetric unit:
Sr 0.0000 0.0000 0.0000 x1  2 Be 2.38, 4 Re 2.51
Be 0.0000 0.0000 0.5000 x1  2 Sr 2.38
Re 0.0000 0.5000 0.0000 x2  2 Sr 2.51
Bi 0.5000 0.5000 0.5000 x1  8 Re 3.45, 4 Be 3.54

Results
* energy of formation: 2.994 eV/atom
* raw total energy: -3.84 eV/atom

---

Here is crystalline LiAsCBr2 at its relaxed geometry from Alexandria via LeMat-Bulk. Energies are from PBE.

a b c (Å): 4.8413 4.8413 4.8359
angles (deg): 90.00 90.00 90.00
Closest atoms and distances in Å follow each position.
Space group P4/mmm (No. 123)
Asymmetric unit:
Li 0.0000 0.0000 0.0000 x1  2 As 2.42, 4 Br 2.42
As 0.0000 0.0000 0.5000 x1  2 Li 2.42
C 0.5000 0.5000 0.5000 x1  8 Br 3.42, 4 As 3.42
Br 0.0000 0.5000 0.0000 x2  2 Li 2.42

Results
* energy above the most stable polymorph in this dataset: 0.8113 eV per atom
* raw total energy: -2.37 eV/atom
* formation energy from raw total energies: 1.453 eV/atom

---

Here is crystalline Pm2TlI3 at its relaxed geometry from Alexandria via LeMat-Bulk. Energies are from PBE.

a b c (Å): 20.8173 4.2345 14.3418
angles (deg): 90.00 129.77 90.00
Closest atoms and distances in Å follow each position.
Space group C2/m (No. 12)
Asymmetric unit:
Pm 0.1092 0.0000 0.4305 x4  5 I 3.16-3.47, 2 Tl 3.31-3.38
Pm 0.1267 0.5000 0.8289 x4  4 I 3.16-3.23, 2 Tl 3.17
Tl 0.0754 0.0000 0.6268 x4  1 Tl 2.91, 2 Pm 3.17
I 0.0439 0.5000 0.2188 x4  3 Pm 3.16-3.20
I 0.1778 0.0000 0.0365 x4  3 Pm 3.20-3.23
I 0.2463 0.5000 0.6158 x4  3 Pm 3.16-3.47

Results
* raw total energy: -3.68 eV/atom
* formation energy from raw total energies: -0.926 eV/atom

---

Here is crystalline KLiNiC2 at its relaxed geometry from Alexandria via LeMat-Bulk. Energies are from PBE.

a b c (Å): 3.9571 3.9571 4.2811
angles (deg): 90.00 90.00 90.00
Closest atoms and distances in Å follow each position.
Space group P4/mmm (No. 123)
Asymmetric unit:
K 0.0000 0.0000 0.0000 x1  2 Li 2.14
Li 0.0000 0.0000 0.5000 x1  4 C 1.98, 2 K 2.14
Ni 0.5000 0.5000 0.0000 x1  4 K 2.80, 8 C 2.91
C 0.0000 0.5000 0.5000 x2  2 Li 1.98

Results
* energy above the most stable polymorph in this dataset: 0.7504 eV per atom
* energy of formation: 2.334 eV/atom
* raw total energy: -3.11 eV/atom

---

Here is crystalline TlCuAs3 at its relaxed geometry from Alexandria via LeMat-Bulk. Energies are from PBE.

a b c (Å): 4.8544 4.8544 4.8544
angles (deg): 90.00 90.00 90.00
Closest atoms and distances in Å follow each position.
Space group Pm-3m (No. 221)
Asymmetric unit:
Tl 0.0000 0.0000 0.0000 x1  12 As 3.43
Cu 0.5000 0.5000 0.5000 x1  6 As 2.43
As 0.0000 0.5000 0.5000 x3  2 Cu 2.43

Results
* energy above the most stable polymorph in this dataset: 0.0000 eV per atom
* energy of formation: 0.512 eV/atom
* raw total energy: -3.57 eV/atom

---

M_tot readings, ordered: 0.00; 0.00; 4.01; 50.80; 0.00; 2.90; 0.00; 0.00; 0.00; 2.64; 1.18; 0.01; 0.00; 0.00 μB/cell